# PBE with a Hubbard U CaNiTe2O8, optimized geometry
data_CaNiTe2O8
_chemical_formula_sum 'Ca1 Ni1 Te2 O8'
_cell_length_a 6.1187
_cell_length_b 6.1187
_cell_length_c 6.1187
_cell_angle_alpha 107.14
_cell_angle_beta 107.14
_cell_angle_gamma 114.24
_symmetry_space_group_name_H-M 'P 1'
_symmetry_Int_Tables_number 1
loop_
_symmetry_equiv_pos_as_xyz
'x,y,z'
loop_
_atom_site_label
_atom_site_type_symbol
_atom_site_fract_x
_atom_site_fract_y
_atom_site_fract_z
O1 O 0.3772 0.0647 0.3124
O2 O 0.4839 0.6794 0.8045
O3 O 0.3206 0.5161 0.1955
O4 O 0.8749 0.6794 0.1955
O5 O 0.7523 0.0647 0.6876
O6 O 0.3206 0.1251 0.8045
O7 O 0.9353 0.2477 0.3124
O8 O 0.9353 0.6228 0.6876
Ni1 Ni 0.2500 0.7500 0.5000
Ca1 Ca 0.0000 0.0000 0.0000
Te1 Te 0.5000 0.5000 0.0000
Te2 Te 0.7500 0.2500 0.5000
# raw total energy = -62.7 eV per cell
# space-group type = I-4m2, No. 119